A plane-wave DFT calculation with GGA-PBE was carried out for crystalline Li4MgTl2Pd at its relaxed geometry.

a b c (Å): 4.634 4.634 6.792
angles (deg): 90.00 90.00 90.00
Space group P-4m2 (No. 115)
One atom of each set of equivalent atoms:
Li 0.000 0.000 0.000 x1
Li 0.000 0.500 0.717 x2
Li 0.500 0.500 0.500 x1
Mg 0.500 0.500 0.000 x1
Tl 0.000 0.500 0.262 x2
Pd 0.000 0.000 0.500 x1

Properties
E_tot = -2.6681 eV/atom